Entry from Alexandria via LeMat-Bulk: an optimized crystal structure of TaRe2Te (PBE). Values from VASP.

```
&SYSTEM
  ibrav = 0, nat = 4, ntyp = 3
/
ATOMIC_SPECIES
Ta 180.95 Ta.upf
Re 186.21 Re.upf
Te 127.60 Te.upf
CELL_PARAMETERS angstrom
0.000 3.263 3.263
3.263 0.000 3.263
3.263 3.263 0.000
ATOMIC_POSITIONS crystal
Ta 0.000 0.000 0.000
Re 0.500 0.500 0.500
Re 0.750 0.750 0.750
Te 0.250 0.250 0.250
```

## Properties
Total magnetization ... 0.00 μB/f.u.
Total energy ... -9.310 eV/atom
Symmetry ... F-43m, No. 216

Entry from Alexandria via LeMat-Bulk: an optimized crystal structure of TaReTe2 (PBE). Values from VASP.

```
&SYSTEM
  ibrav = 0, nat = 4, ntyp = 3
/
ATOMIC_SPECIES
Ta 180.95 Ta.upf
Re 186.21 Re.upf
Te 127.60 Te.upf
CELL_PARAMETERS angstrom
-1.890 1.958 7.418
1.890 -1.958 7.418
1.890 1.958 -7.418
ATOMIC_POSITIONS crystal
Ta 0.000 0.000 0.000
Re 0.500 0.500 0.000
Te 0.360 0.860 0.500
Te 0.640 0.140 0.500
```

## Properties
Total magnetization ... 0.00 μB/f.u.
Symmetry ... Immm, No. 71
Energy above the lowest structure with this stoichiometry ... 58.7 meV/atom